A PBEsol-optimized structure of YSc2Au, computed with SCAN.

energy of formation: -154 meV per atom
crystal system: trigonal
spin magnetization: 0.924 μB per formula unit
energy above the most stable polymorph in this dataset: 432 meV per atom
space group: No. 166

Geometry as POSCAR:
```
YSc2Au
1.0
-2.518 -2.176 0.374
0.590 -3.292 -0.182
1.085 -2.075 10.218
Sc Y Au
2 1 1
Cartesian
-1.396 -5.545 3.317 Sc
0.554 -1.997 7.093 Sc
0.000 0.000 0.000 Y
-0.421 -3.771 5.205 Au
```

***

A PBEsol-optimized structure of Sr4Bi2O, computed with SCAN.

crystal system: tetragonal
spin magnetization: 0.000 μB per formula unit
energy relative to the elements, uncorrected: -1.632 eV/atom
space group: No. 139

Geometry as POSCAR:
```
Sr4Bi2O
1.0
-0.168 3.513 -3.533
-4.484 -1.648 -1.425
-1.461 4.527 8.086
O Sr Bi
1 4 2
Cartesian
0.000 0.000 0.000 O
-2.242 -0.824 -0.712 Sr
-0.084 1.756 -1.767 Sr
-4.853 4.574 1.262 Sr
-1.261 1.818 1.867 Sr
-2.733 3.939 4.046 Bi
-3.381 2.453 -0.917 Bi
```

***

A PBEsol-optimized structure of Sr5In3, computed with SCAN.

energy of formation: -427 meV per atom
crystal system: hexagonal
spin magnetization: 0.000 μB per formula unit
energy above the most stable polymorph in this dataset: 39 meV per atom
space group: No. 193

Geometry as POSCAR:
```
Sr5In3
1.0
-2.768 -6.115 -0.999
6.639 -1.799 -7.384
2.213 -2.556 9.509
Sr In
10 6
Cartesian
1.676 -2.693 0.318 Sr
-1.484 -5.270 1.793 Sr
0.929 -3.401 6.716 Sr
4.409 -7.776 0.807 Sr
3.780 -5.108 -2.253 Sr
5.164 -2.051 -1.753 Sr
4.172 -2.846 -5.659 Sr
2.305 -5.361 3.378 Sr
-0.300 -5.067 -2.725 Sr
3.689 -2.304 3.878 Sr
1.930 -2.239 -3.167 In
1.941 -5.674 -5.217 In
-0.737 -6.133 5.003 In
0.182 -2.538 3.506 In
1.421 -6.306 0.089 In
4.664 -4.163 1.035 In
```

***

A PBEsol-optimized structure of RbBa2HfAs, computed with SCAN.

energy of formation: 466 meV per atom
crystal system: tetragonal
spin magnetization: 3.954 μB per formula unit
space group: No. 123

Geometry as POSCAR:
```
RbBa2HfAs
1.0
-2.892 4.095 -3.759
-5.523 -1.636 2.467
0.637 4.496 4.407
As Ba Rb Hf
1 2 1 1
Cartesian
0.000 0.000 0.000 As
-2.761 -0.818 1.233 Ba
-1.446 2.047 -1.880 Ba
0.318 2.248 2.203 Rb
-3.889 3.477 1.557 Hf
```

***

A PBEsol-optimized structure of LaY2Tl, computed with SCAN.

energy of formation: -325 meV per atom
crystal system: orthorhombic
spin magnetization: 0.000 μB per formula unit
energy above the most stable polymorph in this dataset: 0 meV per atom
space group: No. 71

Geometry as POSCAR:
```
LaY2Tl
1.0
3.847 0.000 0.000
0.000 5.529 0.000
-1.924 -2.765 5.701
Tl La Y
1 1 2
Cartesian
0.000 2.765 0.000 Tl
1.924 0.000 0.000 La
0.000 0.000 3.194 Y
1.924 2.765 2.508 Y
```

***

A PBEsol-optimized structure of Ba3NiSn, computed with SCAN.

energy of formation: 450 meV per atom
crystal system: cubic
spin magnetization: 0.354 μB per formula unit
space group: No. 221

Geometry as POSCAR:
```
Ba3NiSn
1.0
-3.500 -5.498 -0.309
1.360 -0.507 -6.361
5.336 -3.476 1.418
Ba Sn Ni
3 1 1
Cartesian
0.680 -0.254 -3.181 Ba
2.668 -1.738 0.709 Ba
-1.750 -2.749 -0.155 Ba
0.000 0.000 0.000 Sn
1.598 -4.741 -2.626 Ni
```

***

A PBEsol-optimized structure of AlTcOs, computed with SCAN.

energy of formation: -277 meV per atom
crystal system: orthorhombic
spin magnetization: 0.000 μB per formula unit
energy above the most stable polymorph in this dataset: 184 meV per atom
space group: No. 44

Geometry as POSCAR:
```
AlTcOs
1.0
2.800 0.000 0.000
0.000 3.737 0.000
-1.400 -1.868 3.982
Al Os Tc
1 1 1
Cartesian
0.000 0.000 0.009 Al
1.400 1.868 1.332 Os
0.000 0.000 2.641 Tc
```

***

A PBEsol-optimized structure of Sc4Co3Sb4, computed with SCAN.

crystal system: monoclinic
spin magnetization: 2.651 μB per formula unit
energy relative to the elements, uncorrected: -0.724 eV/atom
space group: No. 6

Geometry as POSCAR:
```
Sc4Co3Sb4
1.0
4.235 0.000 0.000
0.000 6.764 -0.002
0.000 -0.054 7.203
Co Sc Sb
3 4 4
Cartesian
2.118 5.763 3.089 Co
0.000 4.361 6.693 Co
0.000 0.956 4.089 Co
2.118 3.354 5.208 Sc
0.000 3.363 2.012 Sc
2.118 -0.016 5.637 Sc
0.000 6.671 1.557 Sc
0.000 5.171 4.313 Sb
0.000 1.824 6.562 Sb
2.118 4.911 0.678 Sb
2.118 1.555 2.863 Sb
```

***

A PBEsol-optimized structure of ScPdSe2, computed with SCAN.

crystal system: trigonal
spin magnetization: 0.000 μB per formula unit
energy relative to the elements, uncorrected: -0.351 eV/atom
space group: No. 166

Geometry as POSCAR:
```
ScPdSe2
1.0
-1.964 -2.249 2.104
1.359 -1.179 3.179
-3.400 5.094 5.440
Sc Pd Se
1 1 2
Cartesian
0.000 0.000 0.000 Sc
-2.003 0.833 5.362 Pd
-2.358 3.063 4.242 Se
-1.647 -1.396 6.481 Se
```

***

A PBEsol-optimized structure of NiMoPt2, computed with SCAN.

energy of formation: -302 meV per atom
crystal system: orthorhombic
spin magnetization: 0.003 μB per formula unit
energy above the most stable polymorph in this dataset: 8 meV per atom
space group: No. 47

Geometry as POSCAR:
```
NiMoPt2
1.0
2.708 0.000 0.000
0.000 3.842 0.000
0.000 0.000 5.321
Pt Ni Mo
2 1 1
Cartesian
0.000 0.000 1.348 Pt
0.000 0.000 3.973 Pt
1.354 1.921 2.660 Ni
1.354 1.921 0.000 Mo
```

***

A PBEsol-optimized structure of HgSbN2, computed with SCAN.

crystal system: trigonal
spin magnetization: 0.001 μB per formula unit
energy relative to the elements, uncorrected: 1.392 eV/atom
space group: No. 166

Geometry as POSCAR:
```
HgSbN2
1.0
-0.478 2.001 2.753
1.278 -0.938 3.050
5.661 3.445 0.624
Sb N Hg
1 2 1
Cartesian
0.000 0.000 0.000 Sb
2.550 2.065 5.378 N
3.911 2.442 1.049 N
3.230 2.254 3.214 Hg
```

***

A PBEsol-optimized structure of Zr2BeZn, computed with SCAN.

energy of formation: -217 meV per atom
crystal system: tetragonal
spin magnetization: 0.000 μB per formula unit
energy above the most stable polymorph in this dataset: 0 meV per atom
space group: No. 123

Geometry as POSCAR:
```
Zr2BeZn
1.0
3.220 0.000 0.000
0.000 4.555 0.000
0.000 0.000 4.555
Be Zr Zn
1 2 1
Cartesian
1.610 2.277 2.277 Be
0.000 0.000 2.277 Zr
0.000 2.277 0.000 Zr
1.610 0.000 0.000 Zn
```

***

A PBEsol-optimized structure of CuPtSN2, computed with SCAN.

crystal system: tetragonal
spin magnetization: 3.641 μB per formula unit
energy relative to the elements, uncorrected: 1.506 eV/atom
space group: No. 123

Geometry as POSCAR:
```
CuPtSN2
1.0
-3.294 -0.837 0.665
0.683 0.009 3.395
-1.526 6.237 0.290
Cu N Pt S
1 2 1 1
Cartesian
0.000 0.000 0.000 Cu
0.342 0.005 1.698 N
-1.647 -0.419 0.333 N
-2.069 2.704 2.175 Pt
-0.763 3.118 0.145 S
```

***

A PBEsol-optimized structure of Tl2ZnPbF, computed with SCAN.

crystal system: tetragonal
spin magnetization: 0.000 μB per formula unit
energy relative to the elements, uncorrected: -0.204 eV/atom
space group: No. 123

Geometry as POSCAR:
```
Tl2ZnPbF
1.0
4.540 0.000 0.000
0.000 5.953 0.000
0.000 0.000 5.953
Tl F Pb Zn
2 1 1 1
Cartesian
0.000 0.000 2.976 Tl
0.000 2.976 0.000 Tl
2.270 0.000 0.000 F
0.000 0.000 0.000 Pb
2.270 2.976 2.976 Zn
```

***

A PBEsol-optimized structure of Ba2MnZn, computed with SCAN.

energy of formation: 120 meV per atom
crystal system: tetragonal
spin magnetization: 3.722 μB per formula unit
space group: No. 99

Geometry as POSCAR:
```
Ba2MnZn
1.0
-0.167 3.632 -0.251
-1.940 0.124 3.083
7.843 0.699 4.908
Zn Mn Ba
1 1 2
Cartesian
4.238 2.350 4.727 Zn
4.555 0.406 2.850 Mn
1.485 2.104 3.004 Ba
7.223 0.644 4.520 Ba
```

***

A PBEsol-optimized structure of Nd3Ru, computed with SCAN.

energy of formation: -242 meV per atom
crystal system: orthorhombic
spin magnetization: 0.000 μB per formula unit
space group: No. 62

Geometry as POSCAR:
```
Nd3Ru
1.0
6.346 0.000 0.000
0.000 7.296 0.000
0.000 0.000 9.597
Ru Nd
4 12
Cartesian
2.815 2.810 2.399 Ru
5.988 0.838 7.198 Ru
3.532 4.485 7.198 Ru
0.358 6.458 2.399 Ru
1.074 1.291 4.161 Nd
2.099 4.939 4.161 Nd
4.247 2.356 5.436 Nd
2.099 4.939 0.638 Nd
5.272 6.004 8.959 Nd
0.913 3.351 7.198 Nd
2.260 6.999 7.198 Nd
4.247 2.356 8.959 Nd
5.272 6.004 5.436 Nd
5.433 3.945 2.399 Nd
4.086 0.297 2.399 Nd
1.074 1.291 0.638 Nd
```

***

A PBEsol-optimized structure of CrReAu2, computed with SCAN.

energy of formation: 359 meV per atom
crystal system: tetragonal
spin magnetization: 1.358 μB per formula unit
energy above the most stable polymorph in this dataset: 139 meV per atom
space group: No. 123

Geometry as POSCAR:
```
CrReAu2
1.0
3.812 0.000 0.000
0.000 3.812 0.000
0.000 0.000 4.139
Au Re Cr
2 1 1
Cartesian
0.000 1.906 0.000 Au
1.906 0.000 0.000 Au
0.000 0.000 2.069 Re
1.906 1.906 2.069 Cr
```

***

A PBEsol-optimized structure of LiAl2Cd, computed with SCAN.

energy of formation: -74 meV per atom
crystal system: tetragonal
spin magnetization: 0.000 μB per formula unit
space group: No. 119

Geometry as POSCAR:
```
LiAl2Cd
1.0
-3.481 0.768 2.169
-0.025 -3.946 1.357
3.934 2.649 1.362
Al Cd Li
2 1 1
Cartesian
0.000 0.000 0.000 Al
1.078 -1.443 2.241 Al
-1.753 -1.589 1.763 Cd
-0.650 0.914 2.647 Li
```

***

A PBEsol-optimized structure of Sr2CoTcF, computed with SCAN.

crystal system: tetragonal
spin magnetization: 4.292 μB per formula unit
energy relative to the elements, uncorrected: 0.271 eV/atom
space group: No. 123

Geometry as POSCAR:
```
Sr2CoTcF
1.0
3.978 0.000 0.000
0.000 5.762 0.000
0.000 0.000 5.762
Tc F Sr Co
1 1 2 1
Cartesian
0.000 0.000 0.000 Tc
1.989 0.000 0.000 F
0.000 0.000 2.881 Sr
0.000 2.881 0.000 Sr
1.989 2.881 2.881 Co
```

***

A PBEsol-optimized structure of LaGeSe2N, computed with SCAN.

crystal system: tetragonal
spin magnetization: 0.000 μB per formula unit
energy relative to the elements, uncorrected: -0.550 eV/atom
space group: No. 123

Geometry as POSCAR:
```
LaGeSe2N
1.0
-1.762 -2.184 2.468
2.434 -4.096 -1.886
3.807 0.718 3.353
Se Ge N La
2 1 1 1
Cartesian
1.217 -2.048 -0.943 Se
1.904 0.359 1.677 Se
0.000 0.000 0.000 Ge
-0.881 -1.092 1.234 N
2.239 -2.781 1.968 La
```